1.
An optimized crystal structure of Fe2SiHg, computed with PBEsol.

```
Fe2SiHg
1.0
5.933 0.000 0.000
0.000 5.933 0.000
0.000 0.000 5.933
Fe Si Hg
8 4 4
Direct
0.250 0.250 0.250 Fe
0.250 0.250 0.750 Fe
0.250 0.750 0.250 Fe
0.250 0.750 0.750 Fe
0.750 0.250 0.250 Fe
0.750 0.250 0.750 Fe
0.750 0.750 0.250 Fe
0.750 0.750 0.750 Fe
0.000 0.000 0.000 Si
0.000 0.500 0.500 Si
0.500 0.000 0.500 Si
0.500 0.500 0.000 Si
0.000 0.000 0.500 Hg
0.000 0.500 0.000 Hg
0.500 0.000 0.000 Hg
0.500 0.500 0.500 Hg
```

Energy above the most stable polymorph in this dataset (meV/atom): 111.7
E_form (uncorrected) (eV/atom): 0.29
Magnetic moment (μB per formula unit): 3.37

2.
An optimized crystal structure of RbTlZn3, computed with PBEsol.

```
RbTlZn3
1.0
5.322 0.000 0.000
0.000 5.322 0.000
0.000 0.000 5.322
Rb Tl Zn
1 1 3
Direct
0.000 0.000 0.000 Rb
0.500 0.500 0.500 Tl
0.000 0.500 0.500 Zn
0.500 0.000 0.500 Zn
0.500 0.500 0.000 Zn
```

Calculated formation energy (eV per formula unit): 2.02
Magnetic moment (μB per formula unit): 0.00

Short version: density of states at the Fermi level = 1.09; 0.66 states/eV/atom, in the order given.